The following is a GGA-PBE calculation of Sm2BiSe after structural relaxation, from Alexandria.

The structure belongs to space group R3m (No. 160, hexagonal axes); the cell edges are 4.2975, 4.2975 and 22.3710 Å and the angles 90.00°, 90.00° and 120.00°. Symmetry generates all atoms from Sm at (0.0000, 0.0000, 0.0000), Sm at (0.0000, 0.0000, 0.1832), Bi at (0.0000, 0.0000, 0.7584) and Se at (0.0000, 0.0000, 0.5887).

The total moment is 0.00 μB per cell. As for the offset from the most stable computed form: 58 meV/atom. For the uncorrected formation energy, the calculation gives -1.292 eV/atom. Its volume is 29.82 Å³ per atom.